{
  "formula": "NaCaCrGa2",
  "functional": "PBE",
  "state": "optimized geometry",
  "lattice": [[-3.633, -4.000, 1.027], [1.757, -0.225, 5.339], [-3.755, 3.769, 1.395]],
  "species": ["Ga", "Ga", "Cr", "Ca", "Na"],
  "fractional_positions": [[0.000, 0.000, 0.500], [0.500, 0.000, 0.000], [0.500, 0.500, 0.500], [0.000, 0.000, 0.000], [0.000, 0.500, 0.000]],
  "density_g_cm3": 2.5,
  "magnetic_moment_mub_per_fu": 4.2,
  "crystal_system": "tetragonal",
  "energy_ev_per_atom": -2.72,
  "formation_energy_mev_per_atom": 1079,
  "n_ef_per_ev_cell": 4.0
}


{
  "formula": "NiHPb",
  "functional": "PBE",
  "state": "optimized geometry",
  "lattice": [[-2.024, -2.505, -0.326], [-0.439, 1.054, -5.371], [5.187, -2.596, 3.816]],
  "species": ["H", "H", "Ni", "Ni", "Pb", "Pb"],
  "fractional_positions": [[0.430, 0.560, 0.860], [0.570, 0.440, 0.140], [0.097, 0.499, 0.194], [0.903, 0.501, 0.806], [0.167, 0.117, 0.334], [0.833, 0.883, 0.666]],
  "density_g_cm3": 10.2,
  "magnetic_moment_mub_per_fu": 0.0,
  "crystal_system": "monoclinic",
  "energy_ev_per_atom": -4.13,
  "n_ef_per_ev_cell": 1.9
}


{
  "formula": "Hf2TlF9",
  "functional": "PBE",
  "state": "optimized geometry",
  "lattice": [[-0.475, -3.064, 1.170], [5.503, -2.450, -4.183], [1.347, 2.389, 6.802]],
  "species": ["F", "F", "F", "F", "F", "F", "F", "F", "F", "Tl", "Hf", "Hf"],
  "fractional_positions": [[0.000, 0.500, 0.000], [0.000, 0.000, 0.500], [0.500, 0.443, 0.222], [0.500, 0.778, 0.222], [0.500, 0.222, 0.443], [0.500, 0.557, 0.778], [0.500, 0.778, 0.557], [0.000, 0.500, 0.500], [0.500, 0.222, 0.778], [0.000, 0.000, 0.000], [0.000, 0.667, 0.333], [0.000, 0.333, 0.667]],
  "density_g_cm3": 7.9,
  "magnetic_moment_mub_per_fu": 0.0,
  "crystal_system": "hexagonal",
  "energy_ev_per_atom": -6.61,
  "e_form_raw_ev_per_fu": -40.2,
  "n_ef_per_ev_cell": 0.0
}


{
  "formula": "Ac2Be3InPt4",
  "functional": "PBE",
  "state": "optimized geometry",
  "lattice": [[-0.421, -3.386, -2.548], [2.822, -2.134, 2.370], [-7.829, -3.602, 6.081]],
  "species": ["In", "Be", "Be", "Be", "Ac", "Ac", "Pt", "Pt", "Pt", "Pt"],
  "fractional_positions": [[0.500, 0.500, 0.500], [0.000, 0.000, 0.500], [0.000, 0.500, 0.104], [0.500, 0.000, 0.896], [0.000, 0.500, 0.766], [0.500, 0.000, 0.234], [0.000, 0.000, 0.000], [0.500, 0.500, 0.000], [0.000, 0.500, 0.342], [0.500, 0.000, 0.658]],
  "density_g_cm3": 11.9,
  "magnetic_moment_mub_per_fu": 0.0,
  "crystal_system": "tetragonal",
  "energy_ev_per_atom": -5.38,
  "formation_energy_mev_per_atom": -750,
  "n_ef_per_ev_cell": 6.4
}